Material: NiBiTeI2
Method: DFT, PBE-GGA
State: relaxed

abc: 5.1696 5.1696 5.3233
angles: 90.00 90.00 90.00
Last column: nearest neighbours and their distance in Å.
Space group P4/mmm (No. 123)
Asymmetric unit:
Ni 0.0000 0.0000 0.0000 [1 per cell]  4 I 2.58, 2 Te 2.66
Bi 0.5000 0.5000 0.5000 [1 per cell]  4 Te 3.66, 8 I 3.71
Te 0.0000 0.0000 0.5000 [1 per cell]  2 Ni 2.66
I 0.0000 0.5000 0.0000 [2 per cell]  2 Ni 2.58

Properties
As for the relative energy among the computed polymorphs: 0.00 eV per formula unit. As for the total energy: -3.012 eV/atom. The calculation puts the uncorrected formation energy at 0.169 eV/atom. The calculation puts the density of states at the Fermi level at 3.779 states/eV/cell.

---

Material: NiBiTe2I
Method: DFT, PBE-GGA
State: relaxed

abc: 5.1378 5.1378 5.2144
angles: 90.00 90.00 90.00
Last column: nearest neighbours and their distance in Å.
Space group P4/mmm (No. 123)
Asymmetric unit:
Ni 0.0000 0.0000 0.0000 [1 per cell]  4 Te 2.57, 2 I 2.61
Bi 0.5000 0.5000 0.5000 [1 per cell]  4 I 3.63, 8 Te 3.66
Te 0.0000 0.5000 0.0000 [2 per cell]  2 Ni 2.57
I 0.0000 0.0000 0.5000 [1 per cell]  2 Ni 2.61

Properties
As for the relative energy among the computed polymorphs: 0.00 eV per formula unit. As for the total energy: -3.315 eV/atom. The calculation puts the uncorrected formation energy at 0.184 eV/atom. The calculation puts the density of states at the Fermi level at 4.616 states/eV/cell.

---

Material: ZrNiBiI2
Method: DFT, PBE-GGA
State: relaxed

abc: 5.0755 5.0755 5.3924
angles: 90.00 90.00 90.00
Last column: nearest neighbours and their distance in Å.
Space group P4/mmm (No. 123)
Asymmetric unit:
Zr 0.0000 0.0000 0.0000 [1 per cell]  4 Bi 3.59, 8 I 3.70
Ni 0.5000 0.5000 0.5000 [1 per cell]  4 I 2.54, 2 Bi 2.70
Bi 0.5000 0.5000 0.0000 [1 per cell]  2 Ni 2.70
I 0.0000 0.5000 0.5000 [2 per cell]  2 Ni 2.54

Properties
As for the total energy: -3.769 eV/atom. The calculation puts the uncorrected formation energy at 0.493 eV/atom. The calculation puts the density of states at the Fermi level at 6.082 states/eV/cell.

---

Material: NpBiI
Method: DFT, PBE-GGA
State: relaxed

abc: 3.5989 3.6021 15.7687
angles: 90.01 90.24 90.48
Last column: nearest neighbours and their distance in Å.
Space group P-1 (No. 2)
Asymmetric unit:
Np 0.2404 0.2568 0.2503 [2 per cell]  4 I 3.23-3.25, 4 Bi 3.41-3.43, 4 Np 3.60
Bi 0.2565 0.2436 0.6052 [2 per cell]  4 Np 3.41-3.43, 4 Bi 3.60
I 0.2617 0.2435 0.8767 [2 per cell]  4 Np 3.23-3.25, 4 I 3.60

Properties
As for the relative energy among the computed polymorphs: 0.00 eV per formula unit. As for the total energy: -6.312 eV/atom. The calculation puts the uncorrected formation energy at -0.188 eV/atom. The calculation puts the density of states at the Fermi level at 18.290 states/eV/cell.